1.
A geometry-optimized Ca2Ga3Hg structure, computed with GGA-PBE.

Properties
- ΔH_f (0 K) (eV/atom) = -0.466
- magnetization (μB/cell) = 0.00
- total DFT energy (no corrections) (eV per atom) = -2.6974

a = 3.7082 Å, b = 4.6439 Å, c = 7.9846 Å
α = 90.00°, β = 90.00°, γ = 90.00°
Closest atoms and distances in Å follow each position.
Atoms (fractional coordinates):
Ca  0.0000  0.0000  0.0000  8 Ga 3.23-3.31, 4 Hg 3.27
Ca  0.0000  0.5000  0.4942  10 Ga 3.18-3.24, 2 Hg 3.26
Ga  0.5000  0.0000  0.3319  3 Ga 2.60-2.66
Ga  0.5000  0.0000  0.6572  1 Ga 2.60, 2 Hg 2.70
Ga  0.5000  0.5000  0.1699  2 Ga 2.66, 1 Hg 2.72
Hg  0.5000  0.5000  0.8295  3 Ga 2.70-2.72

---

2.
A geometry-optimized CaGaHg3 structure, computed with GGA-PBE.

Properties
- ΔH_f (0 K) (eV/atom) = -0.226
- magnetization (μB/cell) = 0.00
- total DFT energy (no corrections) (eV per atom) = -1.4129

a = 13.6712 Å, b = 13.6712 Å, c = 4.9897 Å
α = 90.71°, β = 90.71°, γ = 15.54°
Closest atoms and distances in Å follow each position.
Atoms (fractional coordinates):
Ca  0.0748  0.0748  0.2547  8 Hg 3.29-3.35, 4 Ga 3.43-3.44
Ca  0.9252  0.9252  0.7453  8 Hg 3.29-3.35, 4 Ga 3.43-3.44
Ga  0.3706  0.3706  0.2426  5 Hg 2.73-3.02
Ga  0.6294  0.6294  0.7574  5 Hg 2.73-3.02
Hg  0.2173  0.2173  0.7589  1 Hg 2.91, 2 Ga 3.02
Hg  0.3247  0.3247  0.7397  2 Ga 2.79, 1 Hg 2.91
Hg  0.4715  0.4715  0.2481  1 Ga 2.73, 2 Hg 2.93
Hg  0.5285  0.5285  0.7519  1 Ga 2.73, 2 Hg 2.93
Hg  0.6753  0.6753  0.2603  2 Ga 2.79, 1 Hg 2.91
Hg  0.7827  0.7827  0.2411  1 Hg 2.91, 2 Ga 3.02

---

3.
A geometry-optimized Ca4Ga2Hg structure, computed with GGA-PBE.

Properties
- ΔH_f (0 K) (eV/atom) = -0.376
- magnetization (μB/cell) = 0.00
- total DFT energy (no corrections) (eV per atom) = -2.4274

a = 9.1191 Å, b = 9.1191 Å, c = 9.1191 Å
α = 33.34°, β = 33.34°, γ = 33.34°
Closest atoms and distances in Å follow each position.
Atoms (fractional coordinates):
Ca  0.1234  0.1234  0.1234  4 Ga 3.19-3.25, 3 Hg 3.22
Ca  0.3739  0.3739  0.3739  4 Ga 3.22, 1 Hg 3.25
Ca  0.6261  0.6261  0.6261  4 Ga 3.22, 1 Hg 3.25
Ca  0.8766  0.8766  0.8766  4 Ga 3.19-3.25, 3 Hg 3.22
Ga  0.2493  0.2493  0.2493  8 Ca 3.19-3.25
Ga  0.7507  0.7507  0.7507  8 Ca 3.19-3.25
Hg  0.5000  0.5000  0.5000  8 Ca 3.22-3.25